First-principles (PBE-GGA) data for crystalline BaHf3Ti at its relaxed geometry, as listed in the Alexandria database.

Computed properties:
Volume   142.6 Å³/cell
Energy above the most stable polymorph in this dataset   1281 meV/atom
Space group   Pm-3m
Formation energy   10.570 eV per formula unit
E   -5.8216 eV/atom

Structure (POSCAR):
```
BaHf3Ti
1.0
5.224 0.000 0.000
0.000 5.224 0.000
0.000 0.000 5.224
Hf Ba Ti
3 1 1
direct
0.000 0.500 0.000
0.000 0.000 0.500
0.500 0.000 0.000
0.000 0.000 0.000
0.500 0.500 0.500
```